PBE+U PaAg2MoO6, optimized geometry; total DFT energy (no corrections) = -6.962 eV/atom
1.0
4.357 0.000 0.000
0.000 5.852 0.000
0.000 0.000 5.852
O Ag Mo Pa
6 2 1 1
Cartesian
3.004 4.469 1.383
3.004 1.383 1.383
3.004 1.383 4.469
0.728 2.926 2.926
0.792 0.000 0.000
3.004 4.469 4.469
0.198 2.926 0.000
0.198 0.000 2.926
2.557 0.000 0.000
2.885 2.926 2.926